Record 1
A relaxed Lu2CrH crystal, computed with PBE.

Results
The total magnetization is 4.0 μB/cell. Its total energy is -5.09 eV/atom. As for the space group: R-3m. The volume comes out at 19.94 Å³/atom. As for the crystal system: trigonal.

Structure (extended XYZ):
```
4
Lattice="3.3079 0.0000 0.0000 1.6539 2.8647 0.0000 1.6539 0.9549 8.4181" Properties=species:S:1:pos:R:3 pbc="T T T"
Cr 0.0000 0.0000 0.0000
Lu 1.6539 0.9549 5.5527
Lu 4.9618 2.8647 2.8655
H 3.3079 1.9098 4.2091
```


Record 2
A relaxed MgCrH2 crystal, computed with PBE.

Results
The total magnetization is 4.0 μB/cell. Its total energy is -3.87 eV/atom. As for the space group: Fm-3m. The volume comes out at 10.39 Å³/atom. As for the crystal system: cubic.

Structure (extended XYZ):
```
4
Lattice="0.0000 2.7490 2.7490 2.7490 0.0000 2.7490 2.7490 2.7490 0.0000" Properties=species:S:1:pos:R:3 pbc="T T T"
Cr 2.7490 2.7490 2.7490
Mg 0.0000 0.0000 0.0000
H 1.3745 1.3745 1.3745
H 4.1234 4.1234 4.1234
```


Record 3
A relaxed Mg2CrH4 crystal, computed with PBE.

Results
The total magnetization is 0.0 μB/cell. Its total energy is -3.75 eV/atom. As for the space group: I4/mmm. The volume comes out at 8.64 Å³/atom. As for the crystal system: tetragonal.

Structure (extended XYZ):
```
7
Lattice="-2.4845 -1.1769 -2.0898 2.1951 0.0965 -2.6640 1.2746 -5.3061 -1.3802" Properties=species:S:1:pos:R:3 pbc="T T T"
Cr 0.0000 0.0000 0.0000
Mg 0.7388 -4.5329 -4.0318
Mg 0.2464 -1.8535 -2.1023
H 0.2005 -2.7253 -4.4098
H 0.7847 -3.6611 -1.7242
H 1.0976 0.0483 -1.3320
H -1.2422 -0.5884 -1.0449
```


Record 4
A relaxed Mg2Cr2H crystal, computed with PBE.

Results
The total magnetization is 5.0 μB/cell. For the excess energy over the best structure of this formula in the dataset, the calculation gives 0.0 meV/atom. Its total energy is -4.60 eV/atom. As for the space group: P4/mbm. The volume comes out at 13.77 Å³/atom. As for the crystal system: tetragonal.

Structure (extended XYZ):
```
10
Lattice="-1.7742 -4.7323 1.6873 4.9429 -1.9647 -0.3127 0.8193 1.3302 4.5923" Properties=species:S:1:pos:R:3 pbc="T T T"
Cr 3.6018 -3.3713 0.3340
Cr 1.6596 -5.3181 1.2444
Cr -0.4331 -3.3257 1.0406
Cr 1.5090 -1.3789 0.1302
Mg 3.4295 -1.4764 2.3777
Mg 3.3028 -4.1448 3.1733
Mg 0.5584 -3.8904 3.5892
Mg 0.6852 -1.2220 2.7936
H 0.0000 0.0000 0.0000
H 1.5843 -3.3485 0.6873
```


Record 5
A relaxed Mg2Cr2H crystal, computed with PBE.

Results
The total magnetization is 0.0 μB/cell. For the excess energy over the best structure of this formula in the dataset, the calculation gives 777.6 meV/atom. Its total energy is -3.82 eV/atom. As for the space group: I4/mmm. The volume comes out at 17.69 Å³/atom. As for the crystal system: tetragonal.

Structure (extended XYZ):
```
5
Lattice="-0.5851 -2.2738 -2.9094 3.6547 0.0639 -0.7848 2.4269 -6.1272 1.8984" Properties=species:S:1:pos:R:3 pbc="T T T"
Cr 1.6576 -1.7958 -1.3319
Cr 3.8390 -6.5413 -0.4640
Mg 1.6883 -4.7530 -1.4291
Mg 3.8082 -3.5841 -0.3668
H 0.0000 0.0000 0.0000
```


Record 6
A relaxed MgCr3H crystal, computed with PBE.

Results
The total magnetization is 13.1 μB/cell. For the excess energy over the best structure of this formula in the dataset, the calculation gives 1661.5 meV/atom. Its total energy is -4.66 eV/atom. As for the space group: Pm-3m. The volume comes out at 26.44 Å³/atom. As for the crystal system: cubic.

Structure (extended XYZ):
```
5
Lattice="-2.7474 -4.0502 1.4135 4.1847 -2.8997 -0.1750 0.9437 1.0668 4.8910" Properties=species:S:1:pos:R:3 pbc="T T T"
Cr 2.0924 -1.4498 -0.0875
Cr 0.4719 0.5334 2.4455
Cr -1.3737 -2.0251 0.7068
Mg 0.0000 0.0000 0.0000
H 1.1905 -2.9416 3.0647
```